(1)
Material: ScCr2Pb
Method: DFT, PBE
State: optimized geometry

Unit cell a=3.2421 b=3.8507 c=6.2036 alpha=90.00 beta=90.00 gamma=90.00
With the nearest neighbours (Å) after each atom.
Fractional coordinates of all 4 atoms:
Sc  0.5000  0.5000  0.7500  8 Cr 2.94, 2 Pb 3.10, 2 Sc 3.24
Cr  0.0000  0.0000  0.9934  4 Sc 2.94, 4 Pb 2.98, 4 Cr 3.02-3.24
Cr  0.0000  0.0000  0.5066  4 Sc 2.94, 4 Pb 2.98, 4 Cr 3.02-3.24
Pb  0.5000  0.5000  0.2500  8 Cr 2.98, 2 Sc 3.10, 2 Pb 3.24

## Properties
Spin magnetization   1.567 μB/atom
DFT formation energy   1.78 eV per formula unit
Space group   Pmmm (47)
ρ   7.64 g/cm³

---

(2)
Material: ScCr2Pb
Method: DFT, PBE
State: optimized geometry

Unit cell a=9.0365 b=9.0365 c=9.0365 alpha=20.05 beta=20.05 gamma=20.05
With the nearest neighbours (Å) after each atom.
Fractional coordinates of all 4 atoms:
Pb  0.5077  0.5077  0.5077  3 Cr 3.05, 6 Pb 3.15, 3 Sc 3.31
Sc  0.7366  0.7366  0.7366  3 Cr 2.81, 6 Sc 3.15
Cr  0.9893  0.9893  0.9893  3 Cr 2.35
Cr  0.2665  0.2665  0.2665  3 Cr 2.35

## Properties
Spin magnetization   0.179 μB/atom
DFT formation energy   1.70 eV per formula unit
Space group   R3m (160)
ρ   7.80 g/cm³

---

(3)
Material: ScCr4Pb
Method: DFT, PBE
State: optimized geometry

Unit cell a=5.0282 b=5.0282 c=5.0282 alpha=60.00 beta=60.00 gamma=60.00
With the nearest neighbours (Å) after each atom.
Fractional coordinates of all 6 atoms:
Cr  0.8734  0.3755  0.3755  6 Cr 2.50-2.53
Sc  0.0000  0.0000  0.0000  12 Cr 2.95, 4 Pb 3.08
Cr  0.3755  0.3755  0.3755  6 Cr 2.50-2.53
Cr  0.3755  0.3755  0.8734  6 Cr 2.50-2.53
Cr  0.3755  0.8734  0.3755  6 Cr 2.50-2.53
Pb  0.7500  0.7500  0.7500  12 Cr 2.95, 4 Sc 3.08

## Properties
Spin magnetization   0.000 μB/atom
DFT formation energy   1.68 eV per formula unit
Space group   F-43m (216)
ρ   8.50 g/cm³

---

(4)
Material: ScCr3Pb
Method: DFT, PBE
State: optimized geometry

Unit cell a=5.1352 b=5.1352 c=5.1352 alpha=90.00 beta=90.00 gamma=90.00
With the nearest neighbours (Å) after each atom.
Fractional coordinates of all 5 atoms:
Cr  0.0000  0.5000  0.0000  2 Pb 2.57
Cr  0.0000  0.0000  0.5000  2 Pb 2.57
Pb  0.0000  0.0000  0.0000  6 Cr 2.57
Cr  0.5000  0.0000  0.0000  2 Pb 2.57
Sc  0.5000  0.5000  0.5000  12 Cr 3.63

## Properties
Spin magnetization   2.346 μB/atom
Distance to the lowest polymorph of the same formula   0.000 eV/atom
DFT formation energy   7.26 eV per formula unit
Space group   Pm-3m (221)
ρ   5.00 g/cm³

---

(5)
Material: ScCrPb3
Method: DFT, PBE
State: optimized geometry

Unit cell a=5.2245 b=5.2245 c=5.2245 alpha=90.00 beta=90.00 gamma=90.00
With the nearest neighbours (Å) after each atom.
Fractional coordinates of all 5 atoms:
Pb  0.5000  0.0000  0.0000  2 Cr 2.61
Pb  0.0000  0.0000  0.5000  2 Cr 2.61
Pb  0.0000  0.5000  0.0000  2 Cr 2.61
Sc  0.5000  0.5000  0.5000  12 Pb 3.69
Cr  0.0000  0.0000  0.0000  6 Pb 2.61

## Properties
Spin magnetization   0.554 μB/atom
Distance to the lowest polymorph of the same formula   0.000 eV/atom
DFT formation energy   2.45 eV per formula unit
Space group   Pm-3m (221)
ρ   8.37 g/cm³

---

(6)
Material: ScCr2Pb
Method: DFT, PBE
State: optimized geometry

Unit cell a=7.6725 b=7.6725 c=6.1890 alpha=51.69 beta=51.69 gamma=90.00
With the nearest neighbours (Å) after each atom.
Fractional coordinates of all 8 atoms:
Pb  0.7500  0.2500  0.5000  4 Cr 2.83, 2 Sc 2.98
Sc  0.5000  0.5000  0.0000  4 Cr 2.80, 2 Pb 2.98
Cr  0.3750  0.3778  0.7500  2 Sc 2.80, 2 Pb 2.83, 2 Cr 2.98
Cr  0.8750  0.8722  0.7500  2 Sc 2.80, 2 Pb 2.83, 2 Cr 2.98
Cr  0.1278  0.6250  0.2500  2 Sc 2.80, 2 Pb 2.83, 2 Cr 2.98
Cr  0.6222  0.1250  0.2500  2 Sc 2.80, 2 Pb 2.83, 2 Cr 2.98
Pb  0.0000  0.0000  0.0000  4 Cr 2.83, 2 Sc 2.98
Sc  0.2500  0.7500  0.5000  4 Cr 2.80, 2 Pb 2.98

## Properties
Spin magnetization   1.946 μB/atom
DFT formation energy   3.08 eV per formula unit
Space group   I-42d (122)
ρ   6.75 g/cm³

---

(7)
Material: ScCr2Pb
Method: DFT, PBE
State: optimized geometry

Unit cell a=5.1059 b=5.1059 c=5.2195 alpha=78.87 beta=78.87 gamma=37.23
With the nearest neighbours (Å) after each atom.
Fractional coordinates of all 4 atoms:
Pb  0.7500  0.7500  0.7500  6 Cr 3.00-3.01, 4 Sc 3.08, 2 Pb 3.26
Cr  0.5009  0.5009  0.4907  3 Sc 2.95-2.97, 3 Pb 3.00-3.01, 6 Cr 3.00-3.26
Cr  0.9991  0.9991  0.0093  3 Sc 2.95-2.97, 3 Pb 3.00-3.01, 6 Cr 3.00-3.26
Sc  0.2500  0.2500  0.2500  6 Cr 2.95-2.97, 4 Pb 3.08, 2 Sc 3.26

## Properties
Spin magnetization   1.814 μB/atom
DFT formation energy   2.06 eV per formula unit
Space group   C2/m (12)
ρ   7.34 g/cm³

---

(8)
Material: ScCrPb3
Method: DFT, PBE
State: optimized geometry

Unit cell a=5.5053 b=5.5053 c=5.5053 alpha=90.00 beta=90.00 gamma=90.00
With the nearest neighbours (Å) after each atom.
Fractional coordinates of all 5 atoms:
Cr  0.5000  0.5000  0.5000  12 Pb 3.89
Pb  0.5000  0.0000  0.0000  2 Sc 2.75
Pb  0.0000  0.0000  0.5000  2 Sc 2.75
Sc  0.0000  0.0000  0.0000  6 Pb 2.75
Pb  0.0000  0.5000  0.0000  2 Sc 2.75

## Properties
Spin magnetization   0.195 μB/atom
Distance to the lowest polymorph of the same formula   0.781 eV/atom
DFT formation energy   6.36 eV per formula unit
Space group   Pm-3m (221)
ρ   7.15 g/cm³

---

(9)
Material: ScCr2Pb
Method: DFT, PBE
State: optimized geometry

Unit cell a=3.1223 b=3.1223 c=7.5797 alpha=90.00 beta=90.00 gamma=90.00
With the nearest neighbours (Å) after each atom.
Fractional coordinates of all 4 atoms:
Sc  0.5000  0.5000  0.7995  5 Cr 2.87-2.97, 4 Sc 3.12
Cr  0.0000  0.0000  0.0424  4 Cr 2.48
Pb  0.0000  0.0000  0.4661  5 Cr 3.03-3.21, 4 Pb 3.12, 4 Sc 3.36
Cr  0.5000  0.5000  0.1919  4 Cr 2.48

## Properties
Spin magnetization   0.199 μB/atom
DFT formation energy   0.78 eV per formula unit
Space group   P4mm (99)
ρ   8.00 g/cm³

---

(10)
Material: ScCrSi2Pb
Method: DFT, PBE
State: optimized geometry

Unit cell a=4.5964 b=4.5964 c=4.8452 alpha=90.00 beta=90.00 gamma=90.00
With the nearest neighbours (Å) after each atom.
Fractional coordinates of all 5 atoms:
Pb  0.5000  0.5000  0.5000  4 Sc 3.25, 8 Si 3.34
Si  0.0000  0.5000  0.0000  2 Cr 2.30
Cr  0.0000  0.0000  0.0000  4 Si 2.30, 2 Sc 2.42
Si  0.5000  0.0000  0.0000  2 Cr 2.30
Sc  0.0000  0.0000  0.5000  2 Cr 2.42

## Properties
Spin magnetization   0.000 μB/atom
Space group   P4/mmm (123)
ρ   5.85 g/cm³
Formation energy without anion corrections   0.266 eV per atom

---

(11)
Material: ScTiCrPb2
Method: DFT, PBE
State: optimized geometry

Unit cell a=5.4036 b=4.7237 c=5.4036 alpha=90.00 beta=90.00 gamma=90.00
With the nearest neighbours (Å) after each atom.
Fractional coordinates of all 5 atoms:
Cr  0.5000  0.5000  0.5000  8 Pb 3.59, 4 Sc 3.82
Sc  0.0000  0.5000  0.0000  2 Ti 2.36
Pb  0.5000  0.0000  0.0000  2 Ti 2.70
Ti  0.0000  0.0000  0.0000  2 Sc 2.36
Pb  0.0000  0.0000  0.5000  2 Ti 2.70

## Properties
Spin magnetization   0.966 μB/atom
DFT formation energy   3.65 eV per formula unit
Space group   P4/mmm (123)
ρ   6.73 g/cm³

---

(12)
Material: ScTlCrPb2
Method: DFT, PBE
State: optimized geometry

Unit cell a=5.2851 b=4.7566 c=5.2851 alpha=90.00 beta=90.00 gamma=90.00
With the nearest neighbours (Å) after each atom.
Fractional coordinates of all 5 atoms:
Cr  0.0000  0.0000  0.0000  2 Sc 2.38, 4 Pb 2.64
Pb  0.0000  0.0000  0.5000  2 Cr 2.64
Sc  0.0000  0.5000  0.0000  2 Cr 2.38
Tl  0.5000  0.5000  0.5000  8 Pb 3.56, 4 Sc 3.74
Pb  0.5000  0.0000  0.0000  2 Cr 2.64

## Properties
Spin magnetization   0.000 μB/atom
DFT formation energy   1.57 eV per formula unit
Space group   P4/mmm (123)
ρ   8.95 g/cm³

---

(13)
Material: CrPb3Se
Method: DFT, PBE
State: optimized geometry

Unit cell a=5.2294 b=5.2294 c=5.2294 alpha=90.00 beta=90.00 gamma=90.00
With the nearest neighbours (Å) after each atom.
Fractional coordinates of all 5 atoms:
Pb  0.0000  0.0000  0.5000  2 Cr 2.61
Cr  0.0000  0.0000  0.0000  6 Pb 2.61
Pb  0.5000  0.0000  0.0000  2 Cr 2.61
Pb  0.0000  0.5000  0.0000  2 Cr 2.61
Se  0.5000  0.5000  0.5000  12 Pb 3.70

## Properties
Spin magnetization   0.400 μB/atom
Distance to the lowest polymorph of the same formula   0.000 eV/atom
Space group   Pm-3m (221)
ρ   8.74 g/cm³
Formation energy without anion corrections   0.287 eV per atom

---

(14)
Material: Cr2PbSe
Method: DFT, PBE
State: optimized geometry

Unit cell a=4.9940 b=4.9940 c=4.9940 alpha=60.00 beta=60.00 gamma=60.00
With the nearest neighbours (Å) after each atom.
Fractional coordinates of all 4 atoms:
Pb  0.5000  0.5000  0.5000  4 Se 3.06, 4 Cr 3.06
Se  0.7500  0.7500  0.7500  4 Pb 3.06, 4 Cr 3.06
Cr  0.2500  0.2500  0.2500  4 Cr 3.06, 4 Pb 3.06
Cr  0.0000  0.0000  0.0000  4 Cr 3.06, 4 Se 3.06

## Properties
Spin magnetization   2.201 μB/atom
Distance to the lowest polymorph of the same formula   0.672 eV/atom
Space group   F-43m (216)
ρ   7.36 g/cm³
Formation energy without anion corrections   0.784 eV per atom